1.
Below is crystalline KCaZn3 at its relaxed geometry, with properties calculated at the PBE level.

The offset from the most stable computed form is 0 meV/atom.

Unit cell a=5.818 b=5.818 c=5.818 alpha=90.00 beta=90.00 gamma=90.00
Fractional positions:
Zn: 0.000 0.000 0.500
Zn: 0.000 0.500 0.000
Ca: 0.000 0.000 0.000
K: 0.500 0.500 0.500
Zn: 0.500 0.000 0.000



2.
Below is crystalline KCa2Zn at its relaxed geometry, with properties calculated at the PBE level.

Unit cell a=11.532 b=11.532 c=11.532 alpha=20.53 beta=20.53 gamma=20.53
Fractional positions:
Ca: 0.026 0.026 0.026
K: 0.250 0.250 0.250
Ca: 0.474 0.474 0.474
Zn: 0.750 0.750 0.750



3.
Below is crystalline KCaZn2 at its relaxed geometry, with properties calculated at the PBE level.

The offset from the most stable computed form is 199 meV/atom.

Unit cell a=5.249 b=5.249 c=5.249 alpha=60.00 beta=60.00 gamma=60.00
Fractional positions:
Zn: 0.250 0.250 0.250
Ca: 0.500 0.500 0.500
K: 0.750 0.750 0.750
Zn: 0.000 0.000 0.000



Number 1: formation energy 38.2 kJ/mol of atoms. Number 2: formation energy 1.5 kJ/mol of atoms. Number 3: formation energy 19.0 kJ/mol of atoms.